(1)
Density functional theory data (GGA-PBE) for a relaxed Tm3Tl3AgTe8 crystal.

Structure (CIF):
```
data_Tm3Tl3AgTe8
_chemical_formula_sum 'Tm6 Tl6 Ag2 Te16'
_symmetry_space_group_name_H-M 'C 1 2/m 1'
_symmetry_Int_Tables_number 12
_cell_length_a 14.910
_cell_length_b 8.613
_cell_length_c 9.633
_cell_angle_alpha 90.00
_cell_angle_beta 121.04
_cell_angle_gamma 90.00
loop_
_symmetry_equiv_pos_as_xyz
'x,y,z'
'-x,-y,-z'
'-x,y,-z'
'x,-y,z'
'x+1/2,y+1/2,z'
'-x+1/2,-y+1/2,-z'
'-x+1/2,y+1/2,-z'
'x+1/2,-y+1/2,z'
loop_
_atom_site_label
_atom_site_type_symbol
_atom_site_fract_x
_atom_site_fract_y
_atom_site_fract_z
Tm1 Tm 0.000 0.000 0.000
Tm2 Tm 0.250 0.250 0.000
Tl1 Tl 0.000 0.500 0.500
Tl2 Tl 0.250 0.250 0.500
Ag1 Ag 0.000 0.500 0.000
Te1 Te 0.013 0.253 0.793
Te2 Te 0.232 0.500 0.206
Te3 Te 0.238 0.000 0.214
```

Summary:
Calculated volume (Å³ per atom): 35.3
Final energy (Ry/atom): -0.2911
Magnetization (μB per cell): 0.00
Formation energy without anion corrections (eV per formula unit): -10.91


(2)
Density functional theory data (GGA-PBE) for a relaxed UTl2AgTe4 crystal.

Structure (CIF):
```
data_UTl2AgTe4
_chemical_formula_sum 'U2 Tl4 Ag2 Te8'
_symmetry_space_group_name_H-M 'I -4 2 m'
_symmetry_Int_Tables_number 121
_symmetry_space_group_name_Hall 'I -4 2'
_cell_length_a 8.165
_cell_length_b 8.165
_cell_length_c 7.452
_cell_angle_alpha 90.00
_cell_angle_beta 90.00
_cell_angle_gamma 90.00
loop_
_atom_site_label
_atom_site_type_symbol
_atom_site_fract_x
_atom_site_fract_y
_atom_site_fract_z
U1 U 0.000 0.000 0.000
Tl1 Tl 0.000 0.500 0.000
Ag1 Ag 0.000 0.000 0.500
Te1 Te 0.193 0.193 0.265
```

Summary:
Calculated volume (Å³ per atom): 31.1
Final energy (Ry/atom): -0.3066
Magnetization (μB per cell): 2.37
Formation energy without anion corrections (eV per formula unit): -1.93


(3)
Density functional theory data (GGA-PBE) for a relaxed TlVAg2Te crystal.

Structure (CIF):
```
data_TlVAg2Te
_chemical_formula_sum 'Tl1 V1 Ag2 Te1'
_symmetry_space_group_name_H-M 'P 4/m m m'
_symmetry_Int_Tables_number 123
_symmetry_space_group_name_Hall '-P 4 2'
_cell_length_a 5.159
_cell_length_b 5.159
_cell_length_c 6.667
_cell_angle_alpha 90.00
_cell_angle_beta 90.00
_cell_angle_gamma 90.00
loop_
_atom_site_label
_atom_site_type_symbol
_atom_site_fract_x
_atom_site_fract_y
_atom_site_fract_z
Tl1 Tl 0.000 0.000 0.000
V1 V 0.500 0.500 0.000
Ag1 Ag 0.000 0.500 0.500
Te1 Te 0.000 0.000 0.500
```

Summary:
Calculated volume (Å³ per atom): 35.5
Final energy (Ry/atom): -0.2253
Magnetization (μB per cell): 4.20
Formation energy without anion corrections (eV per formula unit): 5.00


(4)
Density functional theory data (GGA-PBE) for a relaxed Y3Tl3AgTe8 crystal.

Structure (CIF):
```
data_Y3Tl3AgTe8
_chemical_formula_sum 'Y6 Tl6 Ag2 Te16'
_symmetry_space_group_name_H-M 'C 1 2/m 1'
_symmetry_Int_Tables_number 12
_cell_length_a 15.408
_cell_length_b 8.598
_cell_length_c 9.563
_cell_angle_alpha 90.00
_cell_angle_beta 122.33
_cell_angle_gamma 90.00
loop_
_symmetry_equiv_pos_as_xyz
'x,y,z'
'-x,-y,-z'
'-x,y,-z'
'x,-y,z'
'x+1/2,y+1/2,z'
'-x+1/2,-y+1/2,-z'
'-x+1/2,y+1/2,-z'
'x+1/2,-y+1/2,z'
loop_
_atom_site_label
_atom_site_type_symbol
_atom_site_fract_x
_atom_site_fract_y
_atom_site_fract_z
Y1 Y 0.000 0.000 0.000
Y2 Y 0.250 0.250 0.000
Tl1 Tl 0.000 0.500 0.500
Tl2 Tl 0.250 0.250 0.500
Ag1 Ag 0.000 0.500 0.000
Te1 Te 0.012 0.273 0.803
Te2 Te 0.202 0.000 0.740
Te3 Te 0.238 0.000 0.220
```

Summary:
Calculated volume (Å³ per atom): 35.7
Final energy (Ry/atom): -0.3232
Magnetization (μB per cell): 0.00
Formation energy without anion corrections (eV per formula unit): -11.48


(5)
Density functional theory data (GGA-PBE) for a relaxed YTl2Ag2Te4 crystal.

Structure (CIF):
```
data_YTl2Ag2Te4
_chemical_formula_sum 'Y2 Tl4 Ag4 Te8'
_symmetry_space_group_name_H-M 'C 1 2/m 1'
_symmetry_Int_Tables_number 12
_cell_length_a 16.098
_cell_length_b 4.319
_cell_length_c 8.602
_cell_angle_alpha 90.00
_cell_angle_beta 109.35
_cell_angle_gamma 90.00
loop_
_symmetry_equiv_pos_as_xyz
'x,y,z'
'-x,-y,-z'
'-x,y,-z'
'x,-y,z'
'x+1/2,y+1/2,z'
'-x+1/2,-y+1/2,-z'
'-x+1/2,y+1/2,-z'
'x+1/2,-y+1/2,z'
loop_
_atom_site_label
_atom_site_type_symbol
_atom_site_fract_x
_atom_site_fract_y
_atom_site_fract_z
Y1 Y 0.000 0.000 0.000
Tl1 Tl 0.130 0.000 0.572
Ag1 Ag 0.182 0.500 0.986
Te1 Te 0.012 0.500 0.750
Te2 Te 0.200 0.000 0.210
```

Summary:
Calculated volume (Å³ per atom): 31.4
Final energy (Ry/atom): -0.2808
Magnetization (μB per cell): 0.00
Formation energy without anion corrections (eV per formula unit): -4.92


(6)
Density functional theory data (GGA-PBE) for a relaxed ZrTl2Ag2Te4 crystal.

Structure (CIF):
```
data_ZrTl2Ag2Te4
_chemical_formula_sum 'Zr2 Tl4 Ag4 Te8'
_symmetry_space_group_name_H-M 'C 1 2/m 1'
_symmetry_Int_Tables_number 12
_cell_length_a 16.034
_cell_length_b 4.292
_cell_length_c 8.438
_cell_angle_alpha 90.00
_cell_angle_beta 110.66
_cell_angle_gamma 90.00
loop_
_symmetry_equiv_pos_as_xyz
'x,y,z'
'-x,-y,-z'
'-x,y,-z'
'x,-y,z'
'x+1/2,y+1/2,z'
'-x+1/2,-y+1/2,-z'
'-x+1/2,y+1/2,-z'
'x+1/2,-y+1/2,z'
loop_
_atom_site_label
_atom_site_type_symbol
_atom_site_fract_x
_atom_site_fract_y
_atom_site_fract_z
Zr1 Zr 0.000 0.000 0.000
Tl1 Tl 0.137 0.000 0.590
Ag1 Ag 0.183 0.500 0.979
Te1 Te 0.006 0.500 0.760
Te2 Te 0.194 0.000 0.210
```

Summary:
Calculated volume (Å³ per atom): 30.2
Final energy (Ry/atom): -0.2890
Magnetization (μB per cell): 0.00
Formation energy without anion corrections (eV per formula unit): -3.84


(7)
Density functional theory data (GGA-PBE) for a relaxed Zr3Tl3AgTe8 crystal.

Structure (CIF):
```
data_Zr3Tl3AgTe8
_chemical_formula_sum 'Zr9 Tl9 Ag3 Te24'
_symmetry_space_group_name_H-M 'R -3 m'
_symmetry_Int_Tables_number 166
_symmetry_space_group_name_Hall '-R 3 2"'
_cell_length_a 8.3730
_cell_length_b 8.3730
_cell_length_c 24.6068
_cell_angle_alpha 90.00
_cell_angle_beta 90.00
_cell_angle_gamma 120.00
loop_
_atom_site_label
_atom_site_type_symbol
_atom_site_fract_x
_atom_site_fract_y
_atom_site_fract_z
Zr1 Zr 0.0000 0.5000 0.0000
Tl1 Tl 0.0000 0.5000 0.5000
Ag1 Ag 0.0000 0.0000 0.0000
Te1 Te 0.0000 0.0000 0.2635
Te2 Te 0.0105 0.5052 0.2649
```

Summary:
Calculated volume (Å³ per atom): 33.2
Final energy (Ry/atom): -0.3381
Magnetization (μB per cell): 0.00
Formation energy without anion corrections (eV per formula unit): -8.27


(8)
Density functional theory data (GGA-PBE) for a relaxed Zr2Tl2AgTe6 crystal.

Structure (CIF):
```
data_Zr2Tl2AgTe6
_chemical_formula_sum 'Zr4 Tl4 Ag2 Te12'
_symmetry_space_group_name_H-M 'C 1 2/m 1'
_symmetry_Int_Tables_number 12
_cell_length_a 7.180
_cell_length_b 12.601
_cell_length_c 8.559
_cell_angle_alpha 90.00
_cell_angle_beta 106.27
_cell_angle_gamma 90.00
loop_
_symmetry_equiv_pos_as_xyz
'x,y,z'
'-x,-y,-z'
'-x,y,-z'
'x,-y,z'
'x+1/2,y+1/2,z'
'-x+1/2,-y+1/2,-z'
'-x+1/2,y+1/2,-z'
'x+1/2,-y+1/2,z'
loop_
_atom_site_label
_atom_site_type_symbol
_atom_site_fract_x
_atom_site_fract_y
_atom_site_fract_z
Zr1 Zr 0.000 0.169 0.000
Tl1 Tl 0.000 0.335 0.500
Ag1 Ag 0.000 0.500 0.000
Te1 Te 0.227 0.000 0.202
Te2 Te 0.243 0.328 0.210
```

Summary:
Calculated volume (Å³ per atom): 33.8
Final energy (Ry/atom): -0.3289
Magnetization (μB per cell): 0.00
Formation energy without anion corrections (eV per formula unit): -5.70